Material: Cs5Cd6
Method: DFT, PBE-GGA
State: relaxed

```
Cs5Cd6
1.0
4.597 -7.768 0.000
4.597 7.768 0.000
-3.079 0.000 8.445
Cs Cd
5 6
direct
0.000 0.000 0.000
0.165 0.835 0.500
0.326 0.674 0.000
0.674 0.326 0.000
0.835 0.165 0.500
0.247 0.448 0.346
0.355 0.355 0.654
0.448 0.247 0.346
0.552 0.753 0.654
0.645 0.645 0.346
0.753 0.552 0.654
```

Computed properties:
crystal system = monoclinic
total energy = -0.908 eV per atom
size of the total moment = 0.00 μB per formula unit

Material: NaInSnHg2
Method: DFT, PBE-GGA
State: relaxed

```
NaInSnHg2
1.0
4.978 0.000 0.000
-2.489 4.311 0.000
0.000 0.000 6.478
Na In Sn Hg
1 1 1 2
direct
0.000 0.000 0.000
0.333 0.667 0.651
0.667 0.333 0.331
0.333 0.667 0.174
0.667 0.333 0.816
```

Computed properties:
crystal system = trigonal
total energy = -1.799 eV per atom
size of the total moment = 0.00 μB per formula unit

Material: CrRe2Te
Method: DFT, PBE-GGA
State: relaxed

```
CrRe2Te
1.0
3.074 0.000 0.000
0.000 3.074 0.000
0.000 0.000 6.691
Cr Re Te
1 2 1
direct
0.000 0.000 0.000
0.000 0.000 0.464
0.500 0.500 0.233
0.500 0.500 0.760
```

Computed properties:
crystal system = tetragonal
uncorrected formation energy = 43.1 kJ per mole of atoms
size of the total moment = 0.00 μB per formula unit

Material: Nb12GeB6
Method: DFT, PBE-GGA
State: relaxed

```
Nb12GeB6
1.0
-4.058 4.058 4.058
4.058 -4.058 4.058
4.058 4.058 -4.058
Nb Ge B
12 1 6
direct
0.097 0.804 0.293
0.196 0.293 0.488
0.196 0.707 0.903
0.293 0.097 0.804
0.293 0.488 0.196
0.488 0.196 0.293
0.512 0.804 0.707
0.707 0.512 0.804
0.707 0.903 0.196
0.804 0.293 0.097
0.804 0.707 0.512
0.903 0.196 0.707
0.000 0.000 0.000
0.105 0.605 0.500
0.395 0.500 0.895
0.500 0.105 0.605
0.500 0.895 0.395
0.605 0.500 0.105
0.895 0.395 0.500
```

Computed properties:
crystal system = cubic
total energy = -9.088 eV per atom
size of the total moment = 0.00 μB per formula unit

Material: TiHg2BSe
Method: DFT, PBE-GGA
State: relaxed

```
TiHg2BSe
1.0
5.458 0.000 0.000
0.000 5.458 0.000
0.000 0.000 4.780
Ti Hg B Se
1 2 1 1
direct
0.000 0.000 0.000
0.000 0.500 0.000
0.500 0.000 0.000
0.500 0.500 0.500
0.000 0.000 0.500
```

Computed properties:
crystal system = tetragonal
uncorrected formation energy = 95.0 kJ per mole of atoms
size of the total moment = 0.66 μB per formula unit

Material: ZrNbVRh
Method: DFT, PBE-GGA
State: relaxed

```
ZrNbVRh
1.0
0.000 3.227 3.227
3.227 0.000 3.227
3.227 3.227 0.000
Zr Nb V Rh
1 1 1 1
direct
0.000 0.000 0.000
0.500 0.500 0.500
0.750 0.750 0.750
0.250 0.250 0.250
```

Computed properties:
crystal system = cubic
total energy = -9.003 eV per atom
size of the total moment = 0.00 μB per formula unit

Material: HfGaRh2Cl
Method: DFT, PBE-GGA
State: relaxed

```
HfGaRh2Cl
1.0
4.880 0.000 0.000
0.000 4.880 0.000
0.000 0.000 4.866
Hf Ga Rh Cl
1 1 2 1
direct
0.000 0.000 0.000
0.500 0.500 0.500
0.000 0.500 0.000
0.500 0.000 0.000
0.000 0.000 0.500
```

Computed properties:
crystal system = tetragonal
uncorrected formation energy = 28.0 kJ per mole of atoms
size of the total moment = 0.00 μB per formula unit

Material: Ti2TlVC
Method: DFT, PBE-GGA
State: relaxed

```
Ti2TlVC
1.0
4.298 0.000 0.000
0.000 4.298 0.000
0.000 0.000 4.018
Ti Tl V C
2 1 1 1
direct
0.000 0.500 0.000
0.500 0.000 0.000
0.000 0.000 0.500
0.500 0.500 0.500
0.500 0.500 0.000
```

Computed properties:
crystal system = tetragonal
total energy = -7.600 eV per atom
size of the total moment = 0.00 μB per formula unit

Material: Zn2SbCl
Method: DFT, PBE-GGA
State: relaxed

```
Zn2SbCl
1.0
0.000 3.479 3.479
3.479 0.000 3.479
3.479 3.479 0.000
Zn Sb Cl
2 1 1
direct
0.000 0.000 0.000
0.250 0.250 0.250
0.500 0.500 0.500
0.750 0.750 0.750
```

Computed properties:
crystal system = cubic
excess energy over the best structure of this formula in the dataset = 209 kJ/mol of formula units
uncorrected formation energy = 18.6 kJ per mole of atoms
size of the total moment = 0.00 μB per formula unit

Material: Tb4PmY2Ho2
Method: DFT, PBE-GGA
State: relaxed

```
Tb4PmY2Ho2
1.0
9.339 -1.798 0.000
9.339 1.798 0.000
-4.150 0.000 8.616
Tb Pm Y Ho
4 1 2 2
direct
0.018 0.018 0.334
0.315 0.315 0.666
0.685 0.685 0.334
0.982 0.982 0.666
0.500 0.500 0.000
0.352 0.352 0.333
0.648 0.648 0.667
0.168 0.168 0.001
0.832 0.832 0.999
```

Computed properties:
crystal system = monoclinic
total energy = -5.039 eV per atom
size of the total moment = 0.00 μB per formula unit

Material: Al2ZnOs
Method: DFT, PBE-GGA
State: relaxed

```
Al2ZnOs
1.0
4.648 -1.534 0.000
4.648 1.534 0.000
-1.704 0.000 4.038
Al Zn Os
2 1 1
direct
0.000 0.000 0.000
0.237 0.237 0.626
0.754 0.754 0.144
0.500 0.500 0.518
```

Computed properties:
crystal system = monoclinic
total energy = -5.230 eV per atom
size of the total moment = 0.00 μB per formula unit

Material: CuBi3F
Method: DFT, PBE-GGA
State: relaxed

```
CuBi3F
1.0
5.210 0.000 0.000
0.000 5.210 0.000
0.000 0.000 5.210
Cu Bi F
1 3 1
direct
0.000 0.000 0.000
0.000 0.000 0.500
0.000 0.500 0.000
0.500 0.000 0.000
0.500 0.500 0.500
```

Computed properties:
crystal system = cubic
excess energy over the best structure of this formula in the dataset = 8 kJ/mol of formula units
uncorrected formation energy = 7.7 kJ per mole of atoms
size of the total moment = 0.00 μB per formula unit

Material: MgAl2Te
Method: DFT, PBE-GGA
State: relaxed

```
MgAl2Te
1.0
4.025 0.000 0.000
0.000 4.025 0.000
0.000 0.000 5.742
Mg Al Te
1 2 1
direct
0.000 0.000 0.000
0.000 0.500 0.500
0.500 0.000 0.500
0.500 0.500 0.000
```

Computed properties:
crystal system = tetragonal
excess energy over the best structure of this formula in the dataset = 59 kJ/mol of formula units
uncorrected formation energy = 5.6 kJ per mole of atoms
size of the total moment = 0.00 μB per formula unit

Material: PrAuC
Method: DFT, PBE-GGA
State: relaxed

```
PrAuC
1.0
5.283 0.000 0.000
0.000 3.616 0.000
-2.264 0.000 6.128
Pr Au C
2 2 2
direct
0.178 0.250 0.335
0.822 0.750 0.665
0.405 0.250 0.838
0.595 0.750 0.162
0.299 0.750 0.619
0.701 0.250 0.381
```

Computed properties:
crystal system = monoclinic
total energy = -5.683 eV per atom
size of the total moment = 0.00 μB per formula unit

Material: Dy2Ho4In
Method: DFT, PBE-GGA
State: relaxed

```
Dy2Ho4In
1.0
1.797 1.038 19.184
-1.797 1.038 19.184
0.000 -2.075 19.184
Dy Ho In
2 4 1
direct
0.191 0.191 0.191
0.809 0.809 0.809
0.093 0.093 0.093
0.290 0.290 0.290
0.710 0.710 0.710
0.907 0.907 0.907
0.000 0.000 0.000
```

Computed properties:
crystal system = trigonal
excess energy over the best structure of this formula in the dataset = 0 kJ/mol of formula units
size of the total moment = 0.71 μB per formula unit

Material: ThMnSiH
Method: DFT, PBE-GGA
State: relaxed

```
ThMnSiH
1.0
3.982 0.000 0.000
0.000 3.982 0.000
0.000 0.000 7.768
Th Mn Si H
2 2 2 2
direct
0.250 0.250 0.177
0.750 0.750 0.823
0.250 0.750 0.500
0.750 0.250 0.500
0.250 0.250 0.669
0.750 0.750 0.331
0.250 0.750 0.000
0.750 0.250 0.000
```

Computed properties:
crystal system = tetragonal
total energy = -6.946 eV per atom
size of the total moment = 1.77 μB per formula unit

Material: Mg2TaBi
Method: DFT, PBE-GGA
State: relaxed

```
Mg2TaBi
1.0
-4.085 4.085 2.858
4.085 -4.085 2.858
4.085 4.085 -2.858
Mg Ta Bi
4 2 2
direct
0.123 0.625 0.998
0.375 0.373 0.498
0.627 0.125 0.002
0.875 0.877 0.502
0.000 0.000 0.000
0.750 0.250 0.500
0.250 0.750 0.500
0.500 0.500 0.000
```

Computed properties:
crystal system = tetragonal
total energy = -4.042 eV per atom
size of the total moment = 0.00 μB per formula unit

Material: Ce12Pu2Sb5
Method: DFT, PBE-GGA
State: relaxed

```
Ce12Pu2Sb5
1.0
7.223 -4.932 0.000
7.223 4.932 0.000
-3.041 0.000 7.340
Ce Pu Sb
12 2 5
direct
0.005 0.005 0.237
0.114 0.597 0.702
0.154 0.588 0.151
0.387 0.387 0.537
0.403 0.886 0.298
0.412 0.846 0.849
0.588 0.154 0.151
0.597 0.114 0.702
0.613 0.613 0.463
0.846 0.412 0.849
0.886 0.403 0.298
0.995 0.995 0.763
0.206 0.794 0.500
0.794 0.206 0.500
0.186 0.186 0.634
0.202 0.202 0.119
0.500 0.500 0.000
0.798 0.798 0.881
0.814 0.814 0.366
```

Computed properties:
crystal system = monoclinic
uncorrected formation energy = -39.5 kJ per mole of atoms
size of the total moment = 8.63 μB per formula unit

Material: DyMn2GeN
Method: DFT, PBE-GGA
State: relaxed

```
DyMn2GeN
1.0
1.816 -5.375 0.000
1.816 5.375 0.000
0.000 0.000 7.156
Dy Mn Ge N
2 4 2 2
direct
0.041 0.959 0.750
0.959 0.041 0.250
0.336 0.664 0.555
0.336 0.664 0.945
0.664 0.336 0.055
0.664 0.336 0.445
0.236 0.764 0.250
0.764 0.236 0.750
0.500 0.500 0.000
0.500 0.500 0.500
```

Computed properties:
crystal system = orthorhombic
uncorrected formation energy = -68.0 kJ per mole of atoms
size of the total moment = 2.70 μB per formula unit

Material: AlSnI3
Method: DFT, PBE-GGA
State: relaxed

```
AlSnI3
1.0
6.160 0.000 0.000
0.000 6.160 0.000
0.000 0.000 6.160
Al Sn I
1 1 3
direct
0.000 0.000 0.000
0.500 0.500 0.500
0.000 0.500 0.500
0.500 0.000 0.500
0.500 0.500 0.000
```

Computed properties:
crystal system = cubic
excess energy over the best structure of this formula in the dataset = 0 kJ/mol of formula units
uncorrected formation energy = -7.0 kJ per mole of atoms
size of the total moment = 0.00 μB per formula unit

Material: MnAg2Au
Method: DFT, PBE-GGA
State: relaxed

```
MnAg2Au
1.0
1.477 0.853 9.224
-1.477 0.853 9.224
0.000 -1.706 9.224
Mn Ag Au
1 2 1
direct
0.000 0.000 0.000
0.253 0.253 0.253
0.747 0.747 0.747
0.500 0.500 0.500
```

Computed properties:
crystal system = trigonal
total energy = -4.353 eV per atom
size of the total moment = 4.15 μB per formula unit

Material: Zr2TaZn2Rh5
Method: DFT, PBE-GGA
State: relaxed

```
Zr2TaZn2Rh5
1.0
9.439 0.000 0.000
0.000 9.439 0.000
0.000 0.000 3.632
Zr Ta Zn Rh
4 2 4 10
direct
0.172 0.328 0.000
0.328 0.828 0.000
0.672 0.172 0.000
0.828 0.672 0.000
0.000 0.000 0.000
0.500 0.500 0.000
0.125 0.625 0.000
0.375 0.125 0.000
0.625 0.875 0.000
0.875 0.375 0.000
0.000 0.500 0.500
0.070 0.800 0.500
0.200 0.070 0.500
0.300 0.570 0.500
0.430 0.300 0.500
0.500 0.000 0.500
0.570 0.700 0.500
0.700 0.430 0.500
0.800 0.930 0.500
0.930 0.200 0.500
```

Computed properties:
crystal system = tetragonal
total energy = -7.391 eV per atom
size of the total moment = 0.00 μB per formula unit

Material: ZrPdBr2
Method: DFT, PBE-GGA
State: relaxed

```
ZrPdBr2
1.0
0.000 3.417 3.417
3.417 0.000 3.417
3.417 3.417 0.000
Zr Pd Br
1 1 2
direct
0.000 0.000 0.000
0.500 0.500 0.500
0.250 0.250 0.250
0.750 0.750 0.750
```

Computed properties:
crystal system = cubic
excess energy over the best structure of this formula in the dataset = 115 kJ/mol of formula units
uncorrected formation energy = -19.2 kJ per mole of atoms
size of the total moment = 0.33 μB per formula unit

Material: Hf2GaB
Method: DFT, PBE-GGA
State: relaxed

```
Hf2GaB
1.0
1.697 0.980 6.966
-1.697 0.980 6.966
0.000 -1.960 6.966
Hf Ga B
2 1 1
direct
0.229 0.229 0.229
0.771 0.771 0.771
0.000 0.000 0.000
0.500 0.500 0.500
```

Computed properties:
crystal system = trigonal
excess energy over the best structure of this formula in the dataset = 0 kJ/mol of formula units
size of the total moment = 0.00 μB per formula unit

Material: PuTl2ZnO6
Method: DFT, PBE-GGA
State: relaxed

```
PuTl2ZnO6
1.0
2.940 1.697 4.801
-2.940 1.697 4.801
0.000 -3.395 4.801
Pu Tl Zn O
1 2 1 6
direct
0.000 0.000 0.000
0.250 0.250 0.250
0.750 0.750 0.750
0.500 0.500 0.500
0.241 0.245 0.757
0.243 0.759 0.755
0.245 0.757 0.241
0.755 0.243 0.759
0.757 0.241 0.245
0.759 0.755 0.243
```

Computed properties:
crystal system = trigonal
uncorrected formation energy = -140.5 kJ per mole of atoms
size of the total moment = 0.68 μB per formula unit

no.,D(E_F) (states/eV per atom)
1,0.738
2,0.188
3,0.573
4,0.538
5,0.946
6,0.899
7,0.404
8,0.753
9,0.646
10,1.349
11,0.254
12,0.707
13,0.560
14,0.249
15,1.595
16,0.394
17,0.927
18,2.708
19,0.581
20,0.000
21,0.666
22,0.379
23,1.046
24,0.727
25,0.516